A plane-wave DFT calculation with GGA-PBEsol was carried out for a geometry-optimized KYCo structure.

Cell lengths 3.393, 3.393, 14.670 Å; angles 90.00, 90.00, 90.00 degrees
Space group I4mm (No. 107)
Symmetry-distinct sites (fractional):
K 0.000 0.000 0.000 [2 per cell]
Y 0.000 0.000 0.246 [2 per cell]
Co 0.000 0.000 0.665 [2 per cell]

Properties
* calculated formation energy: 0.4668 eV per atom
* M_tot: 0.2 μB per formula unit
* mass density: 3.68 g/cm³
* calculated total energy: -4.764 eV per atom
* volume: 28.15 Å³ per atom
* energy above the lowest structure with this stoichiometry: 0.0000 eV/atom

=====

A plane-wave DFT calculation with GGA-PBEsol was carried out for a geometry-optimized Tb6FeSb2 structure.

Cell lengths 8.1344, 8.1344, 4.0526 Å; angles 90.00, 90.00, 120.00 degrees
Space group P-62m (No. 189)
Symmetry-distinct sites (fractional):
Tb 0.0000 0.2343 0.0000 [3 per cell]
Tb 0.0000 0.5991 0.5000 [3 per cell]
Fe 0.0000 0.0000 0.5000 [1 per cell]
Sb 0.3333 0.6667 0.0000 [2 per cell]

Properties
* M_tot: 0.3 μB per formula unit
* mass density: 8.96 g/cm³
* calculated total energy: -5.915 eV per atom
* uncorrected formation energy: -566 meV per atom
* volume: 25.80 Å³ per atom

=====

A plane-wave DFT calculation with GGA-PBEsol was carried out for a geometry-optimized B5Ir3W2 structure.

Cell lengths 2.873, 15.703, 4.675 Å; angles 90.00, 90.00, 90.00 degrees
Space group Imm2 (No. 44)
Symmetry-distinct sites (fractional):
B 0.000 0.000 0.000 [2 per cell]
B 0.000 0.279 0.455 [4 per cell]
B 0.000 0.279 0.856 [4 per cell]
Ir 0.000 0.405 0.655 [4 per cell]
Ir 0.000 0.500 0.154 [2 per cell]
W 0.000 0.151 0.656 [4 per cell]

Properties
* calculated formation energy: -0.3937 eV per atom
* M_tot: 0.0 μB per formula unit
* mass density: 15.72 g/cm³
* calculated total energy: -9.610 eV per atom
* volume: 10.55 Å³ per atom

=====

A plane-wave DFT calculation with GGA-PBEsol was carried out for a geometry-optimized KYH2 structure.

Cell lengths 6.325, 6.325, 6.325 Å; angles 90.00, 90.00, 90.00 degrees
Space group Fm-3m (No. 225)
Symmetry-distinct sites (fractional):
K 0.000 0.000 0.000 [4 per cell]
Y 0.000 0.000 0.500 [4 per cell]
H 0.250 0.250 0.250 [8 per cell]

Properties
* M_tot: 0.0 μB per formula unit
* mass density: 3.41 g/cm³
* calculated total energy: -3.198 eV per atom
* volume: 15.82 Å³ per atom